# 1
NiH3S | GGA-PBE | relaxed

abc: 3.375 3.375 3.375
angles: 90.00 90.00 90.00
Sites, in units of the cell vectors:
Ni 0.000 0.000 0.000
H 0.000 0.000 0.500
H 0.500 0.000 0.000
H 0.000 0.500 0.000
S 0.500 0.500 0.500

Results
SG: Pm-3m, No. 221
E in eV per atom: -3.28
Magnetization in μB per formula unit: 0.00
Crystal system: cubic
Energy above the most stable polymorph in this dataset in eV per atom: 0.000
Density of states at the Fermi level in states/eV/atom: 0.351
V in Å³/f.u.: 38
Mass density in g cm⁻³: 4.051

---

# 2
NiH2S | GGA-PBE | relaxed

abc: 3.306 3.306 6.631
angles: 75.57 75.57 90.00
Sites, in units of the cell vectors:
H 0.015 0.625 0.250
H 0.875 0.985 0.750
H 0.375 0.265 0.750
H 0.735 0.125 0.250
S 0.250 0.750 0.500
S 0.500 0.500 0.000
Ni 0.750 0.250 0.500
Ni 0.000 0.000 0.000

Results
SG: I-42d, No. 122
E in eV per atom: -3.74
Magnetization in μB per formula unit: 0.00
Crystal system: tetragonal
Energy above the most stable polymorph in this dataset in eV per atom: 0.417
Density of states at the Fermi level in states/eV/atom: 0.258
V in Å³/f.u.: 34
Mass density in g cm⁻³: 4.543

---

# 3
Ni2HS3 | GGA-PBE | relaxed

abc: 5.972 5.972 11.798
angles: 102.64 102.64 97.77
Sites, in units of the cell vectors:
S 0.249 0.164 0.496
S 0.275 0.536 0.369
S 0.663 0.167 0.346
S 0.583 0.344 0.869
S 0.929 0.934 0.846
S 0.836 0.751 0.504
S 0.656 0.417 0.131
S 0.833 0.337 0.654
S 0.503 0.919 0.004
S 0.081 0.497 0.996
S 0.066 0.071 0.154
S 0.464 0.725 0.631
H 0.313 0.955 0.921
H 0.045 0.687 0.079
H 0.142 0.284 0.579
H 0.716 0.858 0.421
Ni 0.199 0.801 0.500
Ni 0.863 0.557 0.830
Ni 0.443 0.137 0.170
Ni 0.818 0.182 0.000
Ni 0.024 0.218 0.330
Ni 0.449 0.551 0.000
Ni 0.782 0.976 0.670
Ni 0.568 0.432 0.500

Results
SG: Fdd2, No. 43
E in eV per atom: -4.69
Magnetization in μB per formula unit: 0.00
Crystal system: orthorhombic
Density of states at the Fermi level in states/eV/atom: 0.561
V in Å³/f.u.: 98
Mass density in g cm⁻³: 3.625

---

# 4
Ni3HS | GGA-PBE | relaxed

abc: 4.127 4.127 4.127
angles: 90.00 90.00 90.00
Sites, in units of the cell vectors:
S 0.000 0.000 0.000
H 0.500 0.500 0.500
Ni 0.000 0.000 0.500
Ni 0.500 0.000 0.000
Ni 0.000 0.500 0.000

Results
SG: Pm-3m, No. 221
E in eV per atom: -4.31
Magnetization in μB per formula unit: 0.01
Crystal system: cubic
Energy above the most stable polymorph in this dataset in eV per atom: 0.751
Density of states at the Fermi level in states/eV/atom: 1.121
V in Å³/f.u.: 70
Mass density in g cm⁻³: 4.942

---

# 5
NiH3S | GGA-PBE | relaxed

abc: 3.417 3.417 3.417
angles: 90.00 90.00 90.00
Sites, in units of the cell vectors:
Ni 0.500 0.500 0.500
H 0.000 0.500 0.000
H 0.000 0.000 0.500
H 0.500 0.000 0.000
S 0.000 0.000 0.000

Results
SG: Pm-3m, No. 221
E in eV per atom: -3.04
Magnetization in μB per formula unit: 0.00
Crystal system: cubic
Energy above the most stable polymorph in this dataset in eV per atom: 0.240
Density of states at the Fermi level in states/eV/atom: 0.238
V in Å³/f.u.: 40
Mass density in g cm⁻³: 3.905

---

# 6
NiH2S | GGA-PBE | relaxed

abc: 3.561 3.561 3.561
angles: 60.00 60.00 60.00
Sites, in units of the cell vectors:
Ni 0.500 0.500 0.500
S 0.000 0.000 0.000
H 0.250 0.250 0.250
H 0.750 0.750 0.750

Results
SG: Fm-3m, No. 225
E in eV per atom: -3.37
Magnetization in μB per formula unit: 0.00
Crystal system: cubic
Energy above the most stable polymorph in this dataset in eV per atom: 0.781
Density of states at the Fermi level in states/eV/atom: 0.273
V in Å³/f.u.: 32
Mass density in g cm⁻³: 4.824

---

Q: Which of these has the highest magnetization?
A: Ni3HS

---

Repeat the second record exactly.
NiH2S | GGA-PBE | relaxed

abc: 3.306 3.306 6.631
angles: 75.57 75.57 90.00
Sites, in units of the cell vectors:
H 0.015 0.625 0.250
H 0.875 0.985 0.750
H 0.375 0.265 0.750
H 0.735 0.125 0.250
S 0.250 0.750 0.500
S 0.500 0.500 0.000
Ni 0.750 0.250 0.500
Ni 0.000 0.000 0.000

Results
SG: I-42d, No. 122
E in eV per atom: -3.74
Magnetization in μB per formula unit: 0.00
Crystal system: tetragonal
Energy above the most stable polymorph in this dataset in eV per atom: 0.417
Density of states at the Fermi level in states/eV/atom: 0.258
V in Å³/f.u.: 34
Mass density in g cm⁻³: 4.543